The following is a PBE calculation of a geometry-optimized RbCaTaSe4 structure, from Alexandria via LeMat-Bulk.

## Properties
N(E_F): 0.00 states/eV/atom
Final energy: -5.354 eV per atom
Spin magnetization: 0.0 μB per formula unit

a b c (Å): 7.012 7.313 9.519
angles (deg): 90.00 107.64 90.00
Space group P2_1/m (No. 11)
Asymmetric unit:
Rb1 0.243 0.250 0.438 (multiplicity 2)
Ca1 0.277 0.250 0.953 (multiplicity 2)
Ta1 0.276 0.750 0.171 (multiplicity 2)
Se1 0.069 0.750 0.920 (multiplicity 2)
Se2 0.071 0.750 0.334 (multiplicity 2)
Se3 0.496 0.507 0.788 (multiplicity 4)